[1]
First-principles (GGA-PBE) data for crystalline Ho4ErTe2 at its relaxed geometry, as listed in the Alexandria database.

Cell and atoms, written as CIF:
```
data_Ho4ErTe2
_symmetry_space_group_name_H-M 'C 1 c 1'
_symmetry_Int_Tables_number 9
_cell_length_a 8.873
_cell_length_b 15.907
_cell_length_c 7.391
_cell_angle_alpha 90.00
_cell_angle_beta 126.88
_cell_angle_gamma 90.00
loop_
_symmetry_equiv_pos_as_xyz
'x,y,z'
'x,-y,z+1/2'
'x+1/2,y+1/2,z'
'x+1/2,-y+1/2,z+1/2'
loop_
_atom_site_label
_atom_site_type_symbol
_atom_site_fract_x
_atom_site_fract_y
_atom_site_fract_z
Ho1 Ho 0.000 0.022 0.000
Ho2 Ho 0.108 0.405 0.987
Ho3 Ho 0.210 0.155 0.489
Ho4 Ho 0.329 0.228 0.001
Er1 Er 0.208 0.375 0.586
Te1 Te 0.337 0.038 0.955
Te2 Te 0.448 0.288 0.457
```

Results
The crystal system is monoclinic. The density of states at the Fermi level is 31.51 states/eV/cell. As for the formation energy without anion corrections: -586 meV per atom.


[2]
First-principles (GGA-PBE) data for crystalline BaLi2Ag at its relaxed geometry, as listed in the Alexandria database.

Cell and atoms, written as CIF:
```
data_BaLi2Ag
_symmetry_space_group_name_H-M 'P 1 m 1'
_symmetry_Int_Tables_number 6
_cell_length_a 4.152
_cell_length_b 4.502
_cell_length_c 6.801
_cell_angle_alpha 90.00
_cell_angle_beta 107.27
_cell_angle_gamma 90.00
loop_
_symmetry_equiv_pos_as_xyz
'x,y,z'
'x,-y,z'
loop_
_atom_site_label
_atom_site_type_symbol
_atom_site_fract_x
_atom_site_fract_y
_atom_site_fract_z
Ba1 Ba 0.000 0.000 0.000
Li1 Li 0.272 0.000 0.531
Li2 Li 0.734 0.500 0.458
Ag1 Ag 0.379 0.500 0.753
```

Results
The crystal system is monoclinic. As for the calculated formation energy: -6.8 kJ per mole of atoms. The density of states at the Fermi level is 3.00 states/eV/cell. The energy relative to the lowest polymorph listed for this composition is 64 meV/atom.


[3]
First-principles (GGA-PBE) data for crystalline SrCaAc4 at its relaxed geometry, as listed in the Alexandria database.

Cell and atoms, written as CIF:
```
data_SrCaAc4
_symmetry_space_group_name_H-M 'P 1 2/c 1'
_symmetry_Int_Tables_number 13
_cell_length_a 10.389
_cell_length_b 7.005
_cell_length_c 7.554
_cell_angle_alpha 90.00
_cell_angle_beta 96.25
_cell_angle_gamma 90.00
loop_
_symmetry_equiv_pos_as_xyz
'x,y,z'
'-x,-y,-z'
'-x,y,-z+1/2'
'x,-y,z+1/2'
loop_
_atom_site_label
_atom_site_type_symbol
_atom_site_fract_x
_atom_site_fract_y
_atom_site_fract_z
Sr1 Sr 0.000 0.084 0.250
Ca1 Ca 0.500 0.416 0.250
Ac1 Ac 0.171 0.420 0.912
Ac2 Ac 0.339 0.082 0.587
```

Results
The crystal system is monoclinic. As for the calculated formation energy: 4.7 kJ per mole of atoms. The density of states at the Fermi level is 17.84 states/eV/cell. The energy relative to the lowest polymorph listed for this composition is 0 meV/atom.


[4]
First-principles (GGA-PBE) data for crystalline RbCu3O at its relaxed geometry, as listed in the Alexandria database.

Cell and atoms, written as CIF:
```
data_RbCu3O
_symmetry_space_group_name_H-M 'P m -3 m'
_symmetry_Int_Tables_number 221
_symmetry_space_group_name_Hall '-P 4 2 3'
_cell_length_a 4.416
_cell_length_b 4.416
_cell_length_c 4.416
_cell_angle_alpha 90.00
_cell_angle_beta 90.00
_cell_angle_gamma 90.00
loop_
_atom_site_label
_atom_site_type_symbol
_atom_site_fract_x
_atom_site_fract_y
_atom_site_fract_z
Rb1 Rb 0.000 0.000 0.000
Cu1 Cu 0.000 0.500 0.500
O1 O 0.500 0.500 0.500
```

Results
The crystal system is cubic. The density of states at the Fermi level is 0.97 states/eV/cell. As for the formation energy without anion corrections: 361 meV per atom. The energy relative to the lowest polymorph listed for this composition is 0 meV/atom.


[5]
First-principles (GGA-PBE) data for crystalline SmY4Ag at its relaxed geometry, as listed in the Alexandria database.

Cell and atoms, written as CIF:
```
data_SmY4Ag
_symmetry_space_group_name_H-M 'C m c 21'
_symmetry_Int_Tables_number 36
_cell_length_a 5.478
_cell_length_b 20.992
_cell_length_c 6.500
_cell_angle_alpha 90.00
_cell_angle_beta 90.00
_cell_angle_gamma 90.00
loop_
_symmetry_equiv_pos_as_xyz
'x,y,z'
'-x,-y,z+1/2'
'-x,y,z'
'x,-y,z+1/2'
'x+1/2,y+1/2,z'
'-x+1/2,-y+1/2,z+1/2'
'-x+1/2,y+1/2,z'
'x+1/2,-y+1/2,z+1/2'
loop_
_atom_site_label
_atom_site_type_symbol
_atom_site_fract_x
_atom_site_fract_y
_atom_site_fract_z
Sm1 Sm 0.000 0.135 0.000
Y1 Y 0.000 0.066 0.503
Y2 Y 0.000 0.258 0.626
Y3 Y 0.000 0.324 0.138
Y4 Y 0.000 0.465 0.343
Ag1 Ag 0.000 0.398 0.749
```

Results
The crystal system is orthorhombic. As for the calculated formation energy: 4.8 kJ per mole of atoms. The density of states at the Fermi level is 39.30 states/eV/cell. The energy relative to the lowest polymorph listed for this composition is 131 meV/atom.


[6]
First-principles (GGA-PBE) data for crystalline Cu3AgSe at its relaxed geometry, as listed in the Alexandria database.

Cell and atoms, written as CIF:
```
data_Cu3AgSe
_symmetry_space_group_name_H-M 'P m -3 m'
_symmetry_Int_Tables_number 221
_symmetry_space_group_name_Hall '-P 4 2 3'
_cell_length_a 4.708
_cell_length_b 4.708
_cell_length_c 4.708
_cell_angle_alpha 90.00
_cell_angle_beta 90.00
_cell_angle_gamma 90.00
loop_
_atom_site_label
_atom_site_type_symbol
_atom_site_fract_x
_atom_site_fract_y
_atom_site_fract_z
Cu1 Cu 0.000 0.000 0.500
Ag1 Ag 0.000 0.000 0.000
Se1 Se 0.500 0.500 0.500
```

Results
The crystal system is cubic. The density of states at the Fermi level is 0.48 states/eV/cell. As for the formation energy without anion corrections: 936 meV per atom. The energy relative to the lowest polymorph listed for this composition is 432 meV/atom.


[7]
First-principles (GGA-PBE) data for crystalline RbNb2Tc2 at its relaxed geometry, as listed in the Alexandria database.

Cell and atoms, written as CIF:
```
data_RbNb2Tc2
_symmetry_space_group_name_H-M 'P 4/m b m'
_symmetry_Int_Tables_number 127
_symmetry_space_group_name_Hall '-P 4 2ab'
_cell_length_a 8.190
_cell_length_b 8.190
_cell_length_c 3.084
_cell_angle_alpha 90.00
_cell_angle_beta 90.00
_cell_angle_gamma 90.00
loop_
_atom_site_label
_atom_site_type_symbol
_atom_site_fract_x
_atom_site_fract_y
_atom_site_fract_z
Rb1 Rb 0.000 0.000 0.000
Nb1 Nb 0.133 0.367 0.500
Tc1 Tc 0.133 0.633 0.000
```

Results
The crystal system is tetragonal. As for the calculated formation energy: 63.2 kJ per mole of atoms. The density of states at the Fermi level is 5.47 states/eV/cell. The energy relative to the lowest polymorph listed for this composition is 0 meV/atom.


[8]
First-principles (GGA-PBE) data for crystalline Cs4PBr2 at its relaxed geometry, as listed in the Alexandria database.

Cell and atoms, written as CIF:
```
data_Cs4PBr2
_symmetry_space_group_name_H-M 'I 4/m m m'
_symmetry_Int_Tables_number 139
_symmetry_space_group_name_Hall '-I 4 2'
_cell_length_a 6.569
_cell_length_b 6.569
_cell_length_c 19.466
_cell_angle_alpha 90.00
_cell_angle_beta 90.00
_cell_angle_gamma 90.00
loop_
_atom_site_label
_atom_site_type_symbol
_atom_site_fract_x
_atom_site_fract_y
_atom_site_fract_z
Cs1 Cs 0.000 0.000 0.177
Cs2 Cs 0.000 0.500 0.000
P1 P 0.000 0.000 0.000
Br1 Br 0.000 0.000 0.362
```

Results
The crystal system is tetragonal. The density of states at the Fermi level is 1.54 states/eV/cell. As for the formation energy without anion corrections: -918 meV per atom.


[9]
First-principles (GGA-PBE) data for crystalline SrEuGe4O12 at its relaxed geometry, as listed in the Alexandria database.

Cell and atoms, written as CIF:
```
data_SrEuGe4O12
_symmetry_space_group_name_H-M 'P 4/m m m'
_symmetry_Int_Tables_number 123
_symmetry_space_group_name_Hall '-P 4 2'
_cell_length_a 5.338
_cell_length_b 5.338
_cell_length_c 7.558
_cell_angle_alpha 90.00
_cell_angle_beta 90.00
_cell_angle_gamma 90.00
loop_
_atom_site_label
_atom_site_type_symbol
_atom_site_fract_x
_atom_site_fract_y
_atom_site_fract_z
Sr1 Sr 0.000 0.000 0.000
Eu1 Eu 0.500 0.500 0.500
Ge1 Ge 0.000 0.500 0.247
O1 O 0.000 0.500 0.000
O2 O 0.000 0.500 0.500
O3 O 0.254 0.254 0.260
```

Results
The crystal system is tetragonal. The density of states at the Fermi level is 13.25 states/eV/cell. As for the formation energy without anion corrections: -1542 meV per atom.


[10]
First-principles (GGA-PBE) data for crystalline SrTeP2O at its relaxed geometry, as listed in the Alexandria database.

Cell and atoms, written as CIF:
```
data_SrTeP2O
_symmetry_space_group_name_H-M 'P 4/m m m'
_symmetry_Int_Tables_number 123
_symmetry_space_group_name_Hall '-P 4 2'
_cell_length_a 5.698
_cell_length_b 5.698
_cell_length_c 4.254
_cell_angle_alpha 90.00
_cell_angle_beta 90.00
_cell_angle_gamma 90.00
loop_
_atom_site_label
_atom_site_type_symbol
_atom_site_fract_x
_atom_site_fract_y
_atom_site_fract_z
Sr1 Sr 0.000 0.000 0.000
Te1 Te 0.500 0.500 0.500
P1 P 0.000 0.500 0.000
O1 O 0.000 0.000 0.500
```

Results
The crystal system is tetragonal. The density of states at the Fermi level is 6.43 states/eV/cell. As for the formation energy without anion corrections: 674 meV per atom. The energy relative to the lowest polymorph listed for this composition is 895 meV/atom.


[11]
First-principles (GGA-PBE) data for crystalline LiYTi2N at its relaxed geometry, as listed in the Alexandria database.

Cell and atoms, written as CIF:
```
data_LiYTi2N
_symmetry_space_group_name_H-M 'P 4/m m m'
_symmetry_Int_Tables_number 123
_symmetry_space_group_name_Hall '-P 4 2'
_cell_length_a 4.782
_cell_length_b 4.782
_cell_length_c 4.355
_cell_angle_alpha 90.00
_cell_angle_beta 90.00
_cell_angle_gamma 90.00
loop_
_atom_site_label
_atom_site_type_symbol
_atom_site_fract_x
_atom_site_fract_y
_atom_site_fract_z
Li1 Li 0.000 0.000 0.000
Y1 Y 0.000 0.000 0.500
Ti1 Ti 0.000 0.500 0.500
N1 N 0.500 0.500 0.000
```

Results
The crystal system is tetragonal. The density of states at the Fermi level is 4.91 states/eV/cell. As for the formation energy without anion corrections: 2386 meV per atom.


For reference, volume by record: 834; 121; 546; 86; 748; 104; 207; 840; 215; 138; 100 Å³/cell.